Record 1
ScCuGe PBEsol relaxed; V = 141.2 Å³ per cell; magnetization = 0.0000 μB/atom; electronic total energy = -54.0 eV/cell
1.0
6.4347 0.0000 0.0000
-3.2174 5.5726 0.0000
0.0000 0.0000 3.9376
Sc Cu Ge
3 3 3
Direct
0.0000 0.4291 0.0000
0.4291 0.0000 0.0000
0.5709 0.5709 0.0000
0.0000 0.7577 0.5000
0.2423 0.2423 0.5000
0.7577 0.0000 0.5000
0.0000 0.0000 0.0000
0.3333 0.6667 0.5000
0.6667 0.3333 0.5000

Record 2
VSnP2O8 PBEsol relaxed; V = 317.4 Å³ per cell; magnetization = 0.0833 μB/atom; electronic total energy = -183.7 eV/cell
1.0
4.8971 0.0000 0.0000
0.0000 6.1820 0.0000
-2.1867 0.0000 10.4848
V Sn P O
2 2 4 16
Direct
0.1541 0.2500 0.2033
0.8459 0.7500 0.7967
0.3081 0.2500 0.6993
0.6919 0.7500 0.3007
0.1145 0.7500 0.0963
0.1865 0.7500 0.6283
0.8135 0.2500 0.3717
0.8855 0.2500 0.9037
0.0508 0.5642 0.6976
0.0508 0.9358 0.6976
0.0937 0.7500 0.9483
0.1192 0.7500 0.4870
0.1799 0.2500 0.8786
0.2859 0.5464 0.1518
0.2859 0.9536 0.1518
0.4935 0.2500 0.3196
0.5065 0.7500 0.6804
0.7141 0.0464 0.8482
0.7141 0.4536 0.8482
0.8201 0.7500 0.1214
0.8808 0.2500 0.5130
0.9063 0.2500 0.0517
0.9492 0.0642 0.3024
0.9492 0.4358 0.3024

Q: Among the records above, which one has the highest magnetization?
A: VSnP2O8

Q: The lowest V belongs to which entry?
A: ScCuGe